[1]
Material: DyThSiSe
Method: DFT, PBE
State: optimized geometry

Geometry as CIF:
```
data_DyThSiSe
_space_group_name_H-M_alt 'R 3 m'
_space_group_IT_number 160
_space_group_name_Hall 'R 3 -2"'
_cell_length_a 4.1931
_cell_length_b 4.1931
_cell_length_c 20.4741
_cell_angle_alpha 90.00
_cell_angle_beta 90.00
_cell_angle_gamma 120.00
loop_
_atom_site_label
_atom_site_type_symbol
_atom_site_fract_x
_atom_site_fract_y
_atom_site_fract_z
Dy1 Dy 0.0000 0.0000 0.0000
Th1 Th 0.0000 0.0000 0.4896
Si1 Si 0.0000 0.0000 0.7428
Se1 Se 0.0000 0.0000 0.2480
```

Results
D(E_F)	5.82	states/eV/cell
mass density	8.015	g/cm3
formation energy without anion corrections	-1239	meV/atom
calculated volume	311.8	Å³ per cell



[2]
Material: HgMo2W
Method: DFT, PBE
State: optimized geometry

Geometry as CIF:
```
data_HgMo2W
_space_group_name_H-M_alt 'C 1 2/m 1'
_space_group_IT_number 12
_space_group_name_Hall '-C 2y'
_cell_length_a 5.661
_cell_length_b 9.149
_cell_length_c 2.749
_cell_angle_alpha 90.00
_cell_angle_beta 107.68
_cell_angle_gamma 90.00
loop_
_atom_site_label
_atom_site_type_symbol
_atom_site_fract_x
_atom_site_fract_y
_atom_site_fract_z
Hg1 Hg 0.000 0.000 0.000
Mo1 Mo 0.250 0.250 0.500
W1 W 0.000 0.500 0.000
```

Results
D(E_F)	3.66	states/eV/cell
mass density	14.109	g/cm3
calculated volume	135.7	Å³ per cell
ΔH_f (0 K)	0.53	eV/atom